DFT (PBE) results for a relaxed structure of KLi2. Values from VASP.

Calculated values
Magnetic moment (Bohr magnetons per cell): 0.00
N(E_F) (states/eV per cell): 7.61
Energy of formation from the pure elements (eV/atom): 0.14
Raw total energy (eV per cell): -18.07
Relative energy among the computed polymorphs (eV per formula unit): 0.15

Cell and atoms, written as Quantum ESPRESSO input:
```
&SYSTEM
  ibrav = 0, nat = 12, ntyp = 2
/
ATOMIC_SPECIES
K 39.10 K.upf
Li 6.94 Li.upf
CELL_PARAMETERS angstrom
5.874 0.000 0.000
0.000 5.874 0.000
0.000 0.000 12.821
ATOMIC_POSITIONS crystal
K 0.000 0.000 0.250
K 0.000 0.000 0.750
K 0.500 0.500 0.250
K 0.500 0.500 0.750
Li 0.183 0.317 0.000
Li 0.183 0.683 0.500
Li 0.317 0.183 0.500
Li 0.317 0.817 0.000
Li 0.683 0.183 0.000
Li 0.683 0.817 0.500
Li 0.817 0.317 0.500
Li 0.817 0.683 0.000
```